Entry 1:
A relaxed Li2PuSe3 crystal. Source: Alexandria via LeMat-Bulk, functional PBE.

Unit cell a=4.0708 b=11.7109 c=5.6031 alpha=90.00 beta=90.00 gamma=90.00
Space group Pmmn (No. 59, origin choice 2)
Symmetry-distinct sites (fractional):
Li (0.2500, 0.0890, 0.2487) (multiplicity 4)
Pu (0.2500, 0.7500, 0.2513) (multiplicity 2)
Se (0.2500, 0.0845, 0.7490) (multiplicity 4)
Se (0.2500, 0.7500, 0.7513) (multiplicity 2)

Summary:
* energy relative to the elements, uncorrected: -1.251 eV/atom
* total moment: 4.00 μB/f.u.
* crystal system: orthorhombic

Entry 2:
A relaxed LuB2C crystal. Source: Alexandria via LeMat-Bulk, functional PBE.

Unit cell a=6.6782 b=6.7869 c=3.5933 alpha=90.00 beta=90.00 gamma=90.00
Space group Pbam (No. 55)
Symmetry-distinct sites (fractional):
Lu (0.1883, 0.1929, 0.0000) (multiplicity 4)
B (0.0964, 0.9068, 0.5000) (multiplicity 4)
B (0.1534, 0.4669, 0.5000) (multiplicity 4)
C (0.0406, 0.6780, 0.5000) (multiplicity 4)

Summary:
* energy relative to the elements: -0.564 eV/atom
* total moment: 0.00 μB/f.u.
* crystal system: orthorhombic

Entry 3:
A relaxed Nd6AsSe2S3 crystal. Source: Alexandria via LeMat-Bulk, functional PBE.

Unit cell a=18.1357 b=4.1402 c=8.3613 alpha=90.00 beta=103.34 gamma=90.00
Space group C2/m (No. 12)
Symmetry-distinct sites (fractional):
Nd (0.0034, 0.0000, 0.2485) (multiplicity 4)
Nd (0.1610, 0.5000, 0.0957) (multiplicity 4)
Nd (0.1672, 0.5000, 0.5701) (multiplicity 4)
As (0.0000, 0.5000, 0.5000) (multiplicity 2)
Se (0.1682, 0.0000, 0.8358) (multiplicity 4)
S (0.0000, 0.5000, 0.0000) (multiplicity 2)
S (0.1672, 0.0000, 0.3336) (multiplicity 4)

Summary:
* energy relative to the elements, uncorrected: -1.898 eV/atom
* total moment: 0.00 μB/f.u.
* crystal system: monoclinic